(1)
CdIN2: optimized geometry, PBE-GGA.

Unit cell a=4.3296 b=4.3296 c=4.3296 alpha=60.00 beta=60.00 gamma=60.00
Element x y z (fractional)
1 I 0.5000 0.5000 0.5000
2 N 0.2500 0.2500 0.2500
3 N 0.7500 0.7500 0.7500
4 Cd 0.0000 0.0000 0.0000

Values from the calculation:
Distance to the lowest polymorph of the same formula in eV per atom: 0.709
Total energy in eV for the cell shown: -11.09
Formation energy (no corrections) in eV/atom: 2.007
Symmetry: No. 225

---

(2)
Zn2HgB2Rh5: optimized geometry, PBE-GGA.

Unit cell a=2.9071 b=9.7062 c=9.7062 alpha=90.00 beta=90.00 gamma=90.00
Element x y z (fractional)
1 Zn 0.0000 0.6784 0.1784
2 Zn 0.0000 0.3216 0.8216
3 Zn 0.0000 0.1784 0.3216
4 Zn 0.0000 0.8216 0.6784
5 Hg 0.0000 0.0000 0.0000
6 Hg 0.0000 0.5000 0.5000
7 B 0.0000 0.1233 0.6233
8 B 0.0000 0.8767 0.3767
9 B 0.0000 0.6233 0.8767
10 B 0.0000 0.3767 0.1233
11 Rh 0.5000 0.2274 0.0721
12 Rh 0.5000 0.7726 0.9279
13 Rh 0.5000 0.0721 0.7726
14 Rh 0.5000 0.7274 0.4279
15 Rh 0.5000 0.9279 0.2274
16 Rh 0.5000 0.2726 0.5721
17 Rh 0.5000 0.5721 0.7274
18 Rh 0.5000 0.4279 0.2726
19 Rh 0.5000 0.5000 0.0000
20 Rh 0.5000 0.0000 0.5000

Values from the calculation:
Calculated formation energy in kJ/mol of formula units: -241.8
Total energy in eV for the cell shown: -110.94
Symmetry: No. 127

---

(3)
BC2: optimized geometry, PBE-GGA.

Unit cell a=2.5252 b=2.5252 c=13.6953 alpha=90.00 beta=90.00 gamma=120.00
Element x y z (fractional)
1 B 0.6667 0.3333 0.8316
2 B 0.0000 0.0000 0.9096
3 B 0.3333 0.6667 0.6320
4 B 0.6667 0.3333 0.7100
5 C 0.6667 0.3333 0.3272
6 C 0.0000 0.0000 0.3652
7 C 0.0000 0.0000 0.4780
8 C 0.3333 0.6667 0.5164
9 C 0.3333 0.6667 0.1764
10 C 0.6667 0.3333 0.2145
11 C 0.0000 0.0000 0.0252
12 C 0.3333 0.6667 0.0636

Values from the calculation:
Distance to the lowest polymorph of the same formula in eV per atom: 0.058
Calculated formation energy in kJ/mol of formula units: 86.2
Total energy in eV for the cell shown: -96.93
Symmetry: No. 164

---

(4)
Ba2Y2Tl: optimized geometry, PBE-GGA.

Unit cell a=8.2751 b=8.2751 c=6.0393 alpha=90.00 beta=90.00 gamma=90.00
Element x y z (fractional)
1 Y 0.3497 0.8497 0.0000
2 Y 0.8497 0.6503 0.0000
3 Y 0.6503 0.1503 0.0000
4 Y 0.1503 0.3497 0.0000
5 Tl 0.0000 0.0000 0.0000
6 Tl 0.5000 0.5000 0.0000
7 Ba 0.1677 0.6677 0.5000
8 Ba 0.6677 0.8323 0.5000
9 Ba 0.8323 0.3323 0.5000
10 Ba 0.3323 0.1677 0.5000

Values from the calculation:
Calculated formation energy in kJ/mol of formula units: 39.9
Total energy in eV for the cell shown: -37.45
Symmetry: No. 127

---

(5)
Mg2IrW: optimized geometry, PBE-GGA.

Unit cell a=4.7098 b=4.7098 c=2.9255 alpha=90.00 beta=90.00 gamma=90.00
Last column: magnetic moment on the atom in μB.
Element x y z (fractional)
1 Ir 0.0000 0.5000 0.5000  0.11
2 Mg 0.0000 0.0000 0.0000  0.00
3 Mg 0.5000 0.5000 0.0000  0.00
4 W 0.5000 0.0000 0.5000  0.44

Values from the calculation:
Calculated formation energy in kJ/mol of formula units: 182.8
Total energy in eV for the cell shown: -23.11
Symmetry: No. 123

---

(6)
Mg2CoH: optimized geometry, PBE-GGA.

Unit cell a=4.3044 b=4.3044 c=4.3044 alpha=60.00 beta=60.00 gamma=60.00
Last column: magnetic moment on the atom in μB.
Element x y z (fractional)
1 H 0.0000 0.0000 0.0000  0.00
2 Mg 0.2500 0.2500 0.2500  0.00
3 Mg 0.7500 0.7500 0.7500  0.00
4 Co 0.5000 0.5000 0.5000  0.10

Values from the calculation:
Distance to the lowest polymorph of the same formula in eV per atom: 0.211
Total energy in eV for the cell shown: -11.42
Symmetry: No. 225